(1)
Density functional theory data (PBE) for a relaxed structure of La7Y2.

```
La7Y2
1.0
6.3878 0.0000 0.0000
-3.1939 5.5320 0.0000
0.0000 0.0000 9.0823
La Y
7 2
Direct
0.0000 0.0000 0.0000 La
0.0000 0.3321 0.6685 La
0.0000 0.6679 0.3315 La
0.3321 0.0000 0.6685 La
0.3321 0.3321 0.3315 La
0.6679 0.0000 0.3315 La
0.6679 0.6679 0.6685 La
0.3333 0.6667 0.0000 Y
0.6667 0.3333 0.0000 Y
```

Calculated values
- Energy of formation from the pure elements: 0.02 eV per atom
- Energy relative to the lowest polymorph listed for this composition: 0 meV/atom
- Uncorrected energy: -47.28 eV/cell

(2)
Density functional theory data (PBE) for a relaxed structure of AcUCuO6.

```
AcUCuO6
1.0
5.3721 0.0000 0.0000
-2.6861 4.6524 0.0000
0.0000 0.0000 11.0292
Ac U Cu O
2 2 2 12
Direct
0.0000 0.0000 0.0000 Ac
0.0000 0.0000 0.5000 Ac
0.3333 0.6667 0.2500 U
0.6667 0.3333 0.7500 U
0.3333 0.6667 0.7500 Cu
0.6667 0.3333 0.2500 Cu
0.0059 0.3688 0.6446 O
0.0059 0.6371 0.8554 O
0.3629 0.3688 0.8554 O
0.3629 0.9941 0.6446 O
0.3688 0.0059 0.1446 O
0.3688 0.3629 0.3554 O
0.6312 0.6371 0.6446 O
0.6312 0.9941 0.8554 O
0.6371 0.0059 0.3554 O
0.6371 0.6312 0.1446 O
0.9941 0.3629 0.1446 O
0.9941 0.6312 0.3554 O
```

Calculated values
- Formation energy (no corrections): -2.4507 eV per atom
- Uncorrected energy: -142.60 eV/cell

(3)
Density functional theory data (PBE) for a relaxed structure of Fe2MoCl.

```
Fe2MoCl
1.0
3.5444 0.0000 0.0000
0.0000 3.5444 0.0000
0.0000 0.0000 4.4656
Fe Mo Cl
2 1 1
Direct
0.0000 0.5000 0.0000 Fe
0.5000 0.0000 0.0000 Fe
0.0000 0.0000 0.5000 Mo
0.5000 0.5000 0.5000 Cl
```

Calculated values
- Formation energy (no corrections): 0.9032 eV per atom
- Energy relative to the lowest polymorph listed for this composition: 731 meV/atom
- Uncorrected energy: -25.99 eV/cell

(4)
Density functional theory data (PBE) for a relaxed structure of ScMn2GeC.

```
ScMn2GeC
1.0
3.8706 0.0000 0.0000
0.0000 3.8706 0.0000
0.0000 0.0000 4.4883
Sc Mn Ge C
1 2 1 1
Direct
0.0000 0.0000 0.0000 Sc
0.0000 0.5000 0.5000 Mn
0.5000 0.0000 0.5000 Mn
0.5000 0.5000 0.0000 Ge
0.0000 0.0000 0.5000 C
```

Calculated values
- Energy of formation from the pure elements: -0.20 eV per atom
- Energy relative to the lowest polymorph listed for this composition: 140 meV/atom
- Uncorrected energy: -39.53 eV/cell

(5)
Density functional theory data (PBE) for a relaxed structure of Tc2NiW.

```
Tc2NiW
1.0
2.7361 0.0000 0.0000
0.0000 3.8461 0.0000
-0.0092 0.0000 5.3819
Tc Ni W
2 1 1
Direct
0.0000 0.0000 0.0000 Tc
0.4971 0.5000 0.7662 Tc
0.4975 0.5000 0.2551 Ni
0.9963 0.0000 0.4930 W
```

Calculated values
- Energy of formation from the pure elements: 0.07 eV per atom
- Energy relative to the lowest polymorph listed for this composition: 84 meV/atom
- Uncorrected energy: -39.19 eV/cell